# CoAs, relaxed, DFT PBE-GGA
# Uncorrected energy: -0.2174 hartree per atom
# D(E_F): 0.880 states/eV/atom
# DFT formation energy: -8 kJ/mol of formula units
data_CoAs
_chemical_formula_sum 'Co1 As1'
_symmetry_space_group_name_H-M 'P -6 m 2'
_symmetry_Int_Tables_number 187
_symmetry_space_group_name_Hall 'P -6 2'
_cell_length_a 3.4854
_cell_length_b 3.4854
_cell_length_c 2.7093
_cell_angle_alpha 90.00
_cell_angle_beta 90.00
_cell_angle_gamma 120.00
loop_
_atom_site_label
_atom_site_fract_x
_atom_site_fract_y
_atom_site_fract_z
_atom_site_occupancy
Co1 0.0000 0.0000 0.0000 1
As1 0.3333 0.6667 0.5000 1

=====

# La2Y2Cu, relaxed, DFT PBE-GGA
# Uncorrected energy: -0.1903 hartree per atom
# D(E_F): 1.135 states/eV/atom
# DFT formation energy: 96 kJ/mol of formula units
# ΔE to the lowest computed polymorph: 0.083 eV/atom
data_La2Y2Cu
_chemical_formula_sum 'La4 Y4 Cu2'
_symmetry_space_group_name_H-M 'P 4/m b m'
_symmetry_Int_Tables_number 127
_symmetry_space_group_name_Hall '-P 4 2ab'
_cell_length_a 7.523
_cell_length_b 7.523
_cell_length_c 5.613
_cell_angle_alpha 90.00
_cell_angle_beta 90.00
_cell_angle_gamma 90.00
loop_
_atom_site_label
_atom_site_fract_x
_atom_site_fract_y
_atom_site_fract_z
_atom_site_occupancy
La1 0.144 0.356 0.000 1
Y1 0.163 0.663 0.500 1
Cu1 0.000 0.000 0.000 1

=====

# NbMoHOs2, relaxed, DFT PBE-GGA
# Uncorrected energy: -0.3422 hartree per atom
# D(E_F): 0.736 states/eV/atom
# ΔE to the lowest computed polymorph: 0.000 eV/atom
data_NbMoHOs2
_chemical_formula_sum 'Nb1 Mo1 H1 Os2'
_symmetry_space_group_name_H-M 'P 4/m m m'
_symmetry_Int_Tables_number 123
_symmetry_space_group_name_Hall '-P 4 2'
_cell_length_a 3.989
_cell_length_b 3.989
_cell_length_c 4.047
_cell_angle_alpha 90.00
_cell_angle_beta 90.00
_cell_angle_gamma 90.00
loop_
_atom_site_label
_atom_site_fract_x
_atom_site_fract_y
_atom_site_fract_z
_atom_site_occupancy
Nb1 0.000 0.000 0.000 1
Mo1 0.500 0.500 0.000 1
H1 0.500 0.500 0.500 1
Os1 0.000 0.500 0.500 1

=====

# Ho6Hg2Au, relaxed, DFT PBE-GGA
# Uncorrected energy: -0.1389 hartree per atom
# D(E_F): 1.523 states/eV/atom
# DFT formation energy: -257 kJ/mol of formula units
data_Ho6Hg2Au
_chemical_formula_sum 'Ho12 Hg4 Au2'
_symmetry_space_group_name_H-M 'P 1 21/c 1'
_symmetry_Int_Tables_number 14
_cell_length_a 6.267
_cell_length_b 8.106
_cell_length_c 11.840
_cell_angle_alpha 90.00
_cell_angle_beta 121.48
_cell_angle_gamma 90.00
loop_
_symmetry_equiv_pos_as_xyz
'x,y,z'
'-x,-y,-z'
'-x,y+1/2,-z+1/2'
'x,-y+1/2,z+1/2'
loop_
_atom_site_label
_atom_site_fract_x
_atom_site_fract_y
_atom_site_fract_z
_atom_site_occupancy
Ho1 0.075 0.209 0.438 1
Ho2 0.297 0.656 0.445 1
Ho3 0.372 0.048 0.232 1
Hg1 0.155 0.112 0.729 1
Au1 0.500 0.000 0.500 1

=====

# Li3Au, relaxed, DFT PBE-GGA
# Uncorrected energy: -0.0901 hartree per atom
# D(E_F): 0.359 states/eV/atom
# DFT formation energy: -76 kJ/mol of formula units
data_Li3Au
_chemical_formula_sum 'Li3 Au1'
_symmetry_space_group_name_H-M 'P -6 m 2'
_symmetry_Int_Tables_number 187
_symmetry_space_group_name_Hall 'P -6 2'
_cell_length_a 2.9840
_cell_length_b 2.9840
_cell_length_c 9.3018
_cell_angle_alpha 90.00
_cell_angle_beta 90.00
_cell_angle_gamma 120.00
loop_
_atom_site_label
_atom_site_fract_x
_atom_site_fract_y
_atom_site_fract_z
_atom_site_occupancy
Li1 0.0000 0.0000 0.0000 1
Li2 0.6667 0.3333 0.2749 1
Au1 0.0000 0.0000 0.5000 1

=====

# KZn3Hg, relaxed, DFT PBE-GGA
# Uncorrected energy: -0.0310 hartree per atom
# D(E_F): 0.556 states/eV/atom
# DFT formation energy: 96 kJ/mol of formula units
# ΔE to the lowest computed polymorph: 0.000 eV/atom
data_KZn3Hg
_chemical_formula_sum 'K1 Zn3 Hg1'
_symmetry_space_group_name_H-M 'P m -3 m'
_symmetry_Int_Tables_number 221
_symmetry_space_group_name_Hall '-P 4 2 3'
_cell_length_a 5.231
_cell_length_b 5.231
_cell_length_c 5.231
_cell_angle_alpha 90.00
_cell_angle_beta 90.00
_cell_angle_gamma 90.00
loop_
_atom_site_label
_atom_site_fract_x
_atom_site_fract_y
_atom_site_fract_z
_atom_site_occupancy
K1 0.000 0.000 0.000 1
Zn1 0.000 0.500 0.500 1
Hg1 0.500 0.500 0.500 1

=====

# PrTm3Sc4, relaxed, DFT PBE-GGA
# Uncorrected energy: -0.1988 hartree per atom
# D(E_F): 1.763 states/eV/atom
# DFT formation energy: 22 kJ/mol of formula units
data_PrTm3Sc4
_chemical_formula_sum 'Pr2 Tm6 Sc8'
_symmetry_space_group_name_H-M 'P m n 21'
_symmetry_Int_Tables_number 31
_cell_length_a 10.791
_cell_length_b 6.951
_cell_length_c 5.984
_cell_angle_alpha 90.00
_cell_angle_beta 90.00
_cell_angle_gamma 90.00
loop_
_symmetry_equiv_pos_as_xyz
'x,y,z'
'-x+1/2,-y,z+1/2'
'-x,y,z'
'x+1/2,-y,z+1/2'
loop_
_atom_site_label
_atom_site_fract_x
_atom_site_fract_y
_atom_site_fract_z
_atom_site_occupancy
Pr1 0.000 0.134 0.000 1
Tm1 0.000 0.866 0.498 1
Tm2 0.249 0.865 0.844 1
Sc1 0.000 0.385 0.508 1
Sc2 0.000 0.617 0.007 1
Sc3 0.247 0.617 0.336 1

=====

# LiPr5Zn4, relaxed, DFT PBE-GGA
# Uncorrected energy: -0.1220 hartree per atom
# D(E_F): 1.197 states/eV/atom
# DFT formation energy: -220 kJ/mol of formula units
data_LiPr5Zn4
_chemical_formula_sum 'Li1 Pr5 Zn4'
_symmetry_space_group_name_H-M 'P 4/m m m'
_symmetry_Int_Tables_number 123
_symmetry_space_group_name_Hall '-P 4 2'
_cell_length_a 3.742
_cell_length_b 3.742
_cell_length_c 18.687
_cell_angle_alpha 90.00
_cell_angle_beta 90.00
_cell_angle_gamma 90.00
loop_
_atom_site_label
_atom_site_fract_x
_atom_site_fract_y
_atom_site_fract_z
_atom_site_occupancy
Li1 0.000 0.000 0.000 1
Pr1 0.500 0.500 0.109 1
Pr2 0.500 0.500 0.302 1
Pr3 0.500 0.500 0.500 1
Zn1 0.000 0.000 0.203 1
Zn2 0.000 0.000 0.401 1